(1)
# Sr2NdHg (PBE-GGA, relaxed)
data_Sr2NdHg
_chemical_formula_sum 'Sr2 Nd1 Hg1'
_symmetry_space_group_name_H-M 'P 1'
_symmetry_Int_Tables_number 1
_symmetry_space_group_name_Hall 'P 1'
_cell_length_a 3.8895
_cell_length_b 3.8895
_cell_length_c 12.5331
_cell_angle_alpha 81.07
_cell_angle_beta 81.07
_cell_angle_gamma 60.00
loop_
_atom_site_label
_atom_site_type_symbol
_atom_site_fract_x
_atom_site_fract_y
_atom_site_fract_z
_atom_site_occupancy
Sr1 Sr 0.1001 0.1001 0.6996 1
Sr2 Sr 0.8999 0.8999 0.3004 1
Nd1 Nd 0.0000 0.0000 0.0000 1
Hg1 Hg 0.5000 0.5000 0.5000 1
# DFT formation energy   0.07 eV per atom
# N(E_F)   1.46 states/eV per atom
# Space-group type   R-3m, No. 166
# Excess energy over the best structure of this formula in the dataset   224 meV/atom

---

(2)
# Sr2NdHg7 (PBE-GGA, relaxed)
data_Sr2NdHg7
_chemical_formula_sum 'Sr2 Nd1 Hg7'
_symmetry_space_group_name_H-M 'P 1'
_symmetry_Int_Tables_number 1
_symmetry_space_group_name_Hall 'P 1'
_cell_length_a 5.1998
_cell_length_b 5.1998
_cell_length_c 12.7060
_cell_angle_alpha 90.00
_cell_angle_beta 90.00
_cell_angle_gamma 120.00
loop_
_atom_site_label
_atom_site_type_symbol
_atom_site_fract_x
_atom_site_fract_y
_atom_site_fract_z
_atom_site_occupancy
Sr1 Sr 0.6667 0.3333 0.2597 1
Sr2 Sr 0.3333 0.6667 0.6366 1
Nd1 Nd 0.0000 0.0000 0.0145 1
Hg1 Hg 0.3333 0.6667 0.3747 1
Hg2 Hg 0.3333 0.6667 0.1344 1
Hg3 Hg 0.0000 0.0000 0.4369 1
Hg4 Hg 0.0000 0.0000 0.7592 1
Hg5 Hg 0.6667 0.3333 0.5314 1
Hg6 Hg 0.6667 0.3333 0.9433 1
Hg7 Hg 0.3333 0.6667 0.8927 1
# DFT formation energy   -0.35 eV per atom
# N(E_F)   0.56 states/eV per atom
# Space-group type   P3m1, No. 156

---

(3)
# Sr2NdHg (PBE-GGA, relaxed)
data_Sr2NdHg
_chemical_formula_sum 'Sr2 Nd1 Hg1'
_symmetry_space_group_name_H-M 'P 1'
_symmetry_Int_Tables_number 1
_symmetry_space_group_name_Hall 'P 1'
_cell_length_a 4.0335
_cell_length_b 4.0335
_cell_length_c 11.4626
_cell_angle_alpha 79.87
_cell_angle_beta 79.87
_cell_angle_gamma 60.00
loop_
_atom_site_label
_atom_site_type_symbol
_atom_site_fract_x
_atom_site_fract_y
_atom_site_fract_z
_atom_site_occupancy
Sr1 Sr 0.0721 0.0721 0.7837 1
Sr2 Sr 0.2610 0.2610 0.2169 1
Nd1 Nd 0.5007 0.5007 0.4980 1
Hg1 Hg 0.6662 0.6662 0.0014 1
# DFT formation energy   -0.09 eV per atom
# N(E_F)   1.19 states/eV per atom
# Space-group type   R3m, No. 160
# Excess energy over the best structure of this formula in the dataset   67 meV/atom

---

(4)
# SrNdHg17 (PBE-GGA, relaxed)
data_SrNdHg17
_chemical_formula_sum 'Sr1 Nd1 Hg17'
_symmetry_space_group_name_H-M 'P 1'
_symmetry_Int_Tables_number 1
_symmetry_space_group_name_Hall 'P 1'
_cell_length_a 8.3927
_cell_length_b 8.3927
_cell_length_c 8.3927
_cell_angle_alpha 71.74
_cell_angle_beta 71.74
_cell_angle_gamma 71.74
loop_
_atom_site_label
_atom_site_type_symbol
_atom_site_fract_x
_atom_site_fract_y
_atom_site_fract_z
_atom_site_occupancy
Sr1 Sr 0.6322 0.6322 0.6322 1
Nd1 Nd 0.3364 0.3364 0.3364 1
Hg1 Hg 0.3133 0.0043 0.6912 1
Hg2 Hg 0.6912 0.3133 0.0043 1
Hg3 Hg 0.0043 0.6912 0.3133 1
Hg4 Hg 0.3133 0.6912 0.0043 1
Hg5 Hg 0.0043 0.3133 0.6912 1
Hg6 Hg 0.6912 0.0043 0.3133 1
Hg7 Hg 0.3380 0.9352 0.3380 1
Hg8 Hg 0.3380 0.3380 0.9352 1
Hg9 Hg 0.9352 0.3380 0.3380 1
Hg10 Hg 0.5952 0.2370 0.5952 1
Hg11 Hg 0.5952 0.5952 0.2370 1
Hg12 Hg 0.2370 0.5952 0.5952 1
Hg13 Hg 0.9361 0.5706 0.9361 1
Hg14 Hg 0.9361 0.9361 0.5706 1
Hg15 Hg 0.5706 0.9361 0.9361 1
Hg16 Hg 0.9350 0.9350 0.9350 1
Hg17 Hg 0.0975 0.0975 0.0975 1
# DFT formation energy   -0.14 eV per atom
# N(E_F)   0.36 states/eV per atom
# Space-group type   R3m, No. 160

---

(5)
# SrNd2Hg4 (PBE-GGA, relaxed)
data_SrNd2Hg4
_chemical_formula_sum 'Sr1 Nd2 Hg4'
_symmetry_space_group_name_H-M 'P 1'
_symmetry_Int_Tables_number 1
_symmetry_space_group_name_Hall 'P 1'
_cell_length_a 5.3274
_cell_length_b 5.3274
_cell_length_c 9.6911
_cell_angle_alpha 74.05
_cell_angle_beta 74.05
_cell_angle_gamma 60.00
loop_
_atom_site_label
_atom_site_type_symbol
_atom_site_fract_x
_atom_site_fract_y
_atom_site_fract_z
_atom_site_occupancy
Sr1 Sr 0.0000 0.0000 0.0000 1
Nd1 Nd 0.7666 0.7666 0.7003 1
Nd2 Nd 0.2334 0.2334 0.2997 1
Hg1 Hg 0.8804 0.8804 0.3589 1
Hg2 Hg 0.1196 0.1196 0.6411 1
Hg3 Hg 0.5988 0.5988 0.2036 1
Hg4 Hg 0.4012 0.4012 0.7964 1
# DFT formation energy   -0.32 eV per atom
# N(E_F)   0.74 states/eV per atom
# Space-group type   R-3m, No. 166

---

(6)
# Sr2NdHg4 (PBE-GGA, relaxed)
data_Sr2NdHg4
_chemical_formula_sum 'Sr2 Nd1 Hg4'
_symmetry_space_group_name_H-M 'P 1'
_symmetry_Int_Tables_number 1
_symmetry_space_group_name_Hall 'P 1'
_cell_length_a 5.6230
_cell_length_b 5.6230
_cell_length_c 8.1649
_cell_angle_alpha 110.14
_cell_angle_beta 110.14
_cell_angle_gamma 90.00
loop_
_atom_site_label
_atom_site_type_symbol
_atom_site_fract_x
_atom_site_fract_y
_atom_site_fract_z
_atom_site_occupancy
Sr1 Sr 0.7308 0.7308 0.4616 1
Sr2 Sr 0.2692 0.2692 0.5384 1
Nd1 Nd 0.0000 0.0000 0.0000 1
Hg1 Hg 0.3890 0.8890 0.7779 1
Hg2 Hg 0.8890 0.3890 0.7779 1
Hg3 Hg 0.6110 0.1110 0.2221 1
Hg4 Hg 0.1110 0.6110 0.2221 1
# DFT formation energy   -0.40 eV per atom
# N(E_F)   0.85 states/eV per atom
# Space-group type   I4/mmm, No. 139

---

(7)
# Sr3NdHg4 (PBE-GGA, relaxed)
data_Sr3NdHg4
_chemical_formula_sum 'Sr3 Nd1 Hg4'
_symmetry_space_group_name_H-M 'P 1'
_symmetry_Int_Tables_number 1
_symmetry_space_group_name_Hall 'P 1'
_cell_length_a 3.9421
_cell_length_b 3.9421
_cell_length_c 15.9959
_cell_angle_alpha 90.00
_cell_angle_beta 90.00
_cell_angle_gamma 90.00
loop_
_atom_site_label
_atom_site_type_symbol
_atom_site_fract_x
_atom_site_fract_y
_atom_site_fract_z
_atom_site_occupancy
Sr1 Sr 0.5000 0.5000 0.2442 1
Sr2 Sr 0.5000 0.5000 0.5000 1
Sr3 Sr 0.5000 0.5000 0.7558 1
Nd1 Nd 0.5000 0.5000 0.0000 1
Hg1 Hg 0.0000 0.0000 0.8875 1
Hg2 Hg 0.0000 0.0000 0.1125 1
Hg3 Hg 0.0000 0.0000 0.3716 1
Hg4 Hg 0.0000 0.0000 0.6284 1
# DFT formation energy   -0.52 eV per atom
# N(E_F)   0.79 states/eV per atom
# Space-group type   P4/mmm, No. 123

---

(8)
# Sr4NdHg5 (PBE-GGA, relaxed)
data_Sr4NdHg5
_chemical_formula_sum 'Sr4 Nd1 Hg5'
_symmetry_space_group_name_H-M 'P 1'
_symmetry_Int_Tables_number 1
_symmetry_space_group_name_Hall 'P 1'
_cell_length_a 3.9628
_cell_length_b 3.9628
_cell_length_c 19.8792
_cell_angle_alpha 90.00
_cell_angle_beta 90.00
_cell_angle_gamma 90.00
loop_
_atom_site_label
_atom_site_type_symbol
_atom_site_fract_x
_atom_site_fract_y
_atom_site_fract_z
_atom_site_occupancy
Sr1 Sr 0.0000 0.0000 0.1949 1
Sr2 Sr 0.0000 0.0000 0.3983 1
Sr3 Sr 0.0000 0.0000 0.6017 1
Sr4 Sr 0.0000 0.0000 0.8051 1
Nd1 Nd 0.0000 0.0000 0.0000 1
Hg1 Hg 0.5000 0.5000 0.0896 1
Hg2 Hg 0.5000 0.5000 0.2970 1
Hg3 Hg 0.5000 0.5000 0.5000 1
Hg4 Hg 0.5000 0.5000 0.7030 1
Hg5 Hg 0.5000 0.5000 0.9104 1
# DFT formation energy   -0.52 eV per atom
# N(E_F)   0.76 states/eV per atom
# Space-group type   P4/mmm, No. 123

---

(9)
# SrNd3Hg6 (PBE-GGA, relaxed)
data_SrNd3Hg6
_chemical_formula_sum 'Sr2 Nd6 Hg12'
_symmetry_space_group_name_H-M 'P 1'
_symmetry_Int_Tables_number 1
_symmetry_space_group_name_Hall 'P 1'
_cell_length_a 5.3040
_cell_length_b 9.5792
_cell_length_c 11.6126
_cell_angle_alpha 106.97
_cell_angle_beta 90.00
_cell_angle_gamma 90.00
loop_
_atom_site_label
_atom_site_type_symbol
_atom_site_fract_x
_atom_site_fract_y
_atom_site_fract_z
_atom_site_occupancy
Sr1 Sr 0.2500 0.9394 0.6076 1
Sr2 Sr 0.7500 0.0606 0.3924 1
Nd1 Nd 0.2500 0.5092 0.3801 1
Nd2 Nd 0.7500 0.4908 0.6199 1
Nd3 Nd 0.2500 0.3576 0.8008 1
Nd4 Nd 0.7500 0.6424 0.1992 1
Nd5 Nd 0.2500 0.7773 0.9870 1
Nd6 Nd 0.7500 0.2227 0.0130 1
Hg1 Hg 0.2500 0.4617 0.0856 1
Hg2 Hg 0.7500 0.5383 0.9144 1
Hg3 Hg 0.2500 0.1446 0.1954 1
Hg4 Hg 0.7500 0.8554 0.8046 1
Hg5 Hg 0.2500 0.6539 0.7011 1
Hg6 Hg 0.7500 0.3461 0.2989 1
Hg7 Hg 0.2500 0.2630 0.5156 1
Hg8 Hg 0.7500 0.7370 0.4844 1
Hg9 Hg 0.2500 0.8249 0.2949 1
Hg10 Hg 0.7500 0.1751 0.7051 1
Hg11 Hg 0.2500 0.0666 0.8973 1
Hg12 Hg 0.7500 0.9334 0.1027 1
# DFT formation energy   -0.44 eV per atom
# N(E_F)   0.77 states/eV per atom
# Space-group type   P2_1/m, No. 11

---

(10)
# Sr2NdHg (PBE-GGA, relaxed)
data_Sr2NdHg
_chemical_formula_sum 'Sr2 Nd1 Hg1'
_symmetry_space_group_name_H-M 'P 1'
_symmetry_Int_Tables_number 1
_symmetry_space_group_name_Hall 'P 1'
_cell_length_a 3.8598
_cell_length_b 3.8598
_cell_length_c 10.1113
_cell_angle_alpha 90.00
_cell_angle_beta 90.00
_cell_angle_gamma 90.00
loop_
_atom_site_label
_atom_site_type_symbol
_atom_site_fract_x
_atom_site_fract_y
_atom_site_fract_z
_atom_site_occupancy
Sr1 Sr 0.0000 0.0000 0.7951 1
Sr2 Sr 0.0000 0.0000 0.2049 1
Nd1 Nd 0.5000 0.5000 0.5000 1
Hg1 Hg 0.5000 0.5000 0.0000 1
# DFT formation energy   -0.15 eV per atom
# N(E_F)   1.13 states/eV per atom
# Space-group type   P4/mmm, No. 123
# Excess energy over the best structure of this formula in the dataset   0 meV/atom